Density functional theory data (GGA-PBE) for crystalline SiRuAu2 at its relaxed geometry.

As for the total DFT energy (no corrections): -5.09 eV/atom. The calculation puts the size of the total moment at 0.0 μB per formula unit.

It has space group Pmmm (No. 47), with a = 2.9818 Å, b = 4.4304 Å, c = 4.8636 Å, α = 90.00°, β = 90.00° and γ = 90.00°. The inequivalent atoms are Si at (0.0000, 0.0000, 0.0000), Ru at (0.5000, 0.5000, 0.0000), Au at (0.0000, 0.5000, 0.5000) and Au at (0.5000, 0.0000, 0.5000).